Computed, not measured: a PBEsol-optimized structure of Co2IrOs at the SCAN level of DFT. Values from VASP.

Structure (Quantum ESPRESSO input):
```
&SYSTEM
  ibrav = 0, nat = 4, ntyp = 3
/
ATOMIC_SPECIES
Co 58.93 Co.upf
Ir 192.22 Ir.upf
Os 190.23 Os.upf
ATOMIC_POSITIONS crystal
Co 0.000 0.000 0.000
Co 0.747 0.747 0.236
Ir 0.249 0.249 0.745
Os 0.496 0.496 0.483
CELL_PARAMETERS angstrom
4.293 -1.309 0.000
4.293 1.309 0.000
-0.793 0.000 4.323
```

D(E_F) = 0.983 states/eV/atom
energy above the most stable polymorph in this dataset = 0.0293 eV/atom
energy of formation from the pure elements = 0.142 eV per atom